La2Tb3PmEr6 | the Alexandria database | PBE | optimized geometry; space-group type = C2/m, No. 12; energy of formation from the pure elements = 0.02 eV per atom; density of states at the Fermi level = 14.980 states/eV/f.u.
1.0
3.101 -5.369 0.000
3.101 5.369 0.000
-2.061 0.000 11.584
La Tb Pm Er
2 3 1 6
direct
0.167 0.833 0.000
0.833 0.167 0.000
0.000 0.000 0.500
0.333 0.667 0.500
0.667 0.333 0.500
0.500 0.500 0.000
0.082 0.415 0.746
0.253 0.253 0.254
0.415 0.082 0.746
0.585 0.918 0.254
0.747 0.747 0.746
0.918 0.585 0.254